Record 1
This record from the Alexandria database describes a crystal of CdRu2Se relaxed with PBEsol. The functional is SCAN.

Properties
Total magnetic moment: 0.0 μB per cell
Formation energy (no corrections): 0.27 eV per atom
ΔE to the lowest computed polymorph: 0.23 eV per formula unit

Unit cell a=2.997 b=2.997 c=6.727 alpha=90.00 beta=90.00 gamma=90.00
Space group P4/mmm (No. 123)
Asymmetric unit:
1 Cd 0.000 0.000 0.000 [1 per cell]
2 Ru 0.500 0.500 0.286 [2 per cell]
3 Se 0.000 0.000 0.500 [1 per cell]

Record 2
This record from the Alexandria database describes a crystal of SbIr4Os relaxed with PBEsol. The functional is SCAN.

Properties
Total magnetic moment: 13.9 μB per cell
Formation energy (no corrections): 0.95 eV per atom

Unit cell a=7.301 b=7.301 c=7.301 alpha=90.00 beta=90.00 gamma=90.00
Space group F-43m (No. 216)
Asymmetric unit:
1 Sb 0.000 0.000 0.000 [4 per cell]
2 Ir 0.124 0.124 0.624 [16 per cell]
3 Os 0.250 0.250 0.250 [4 per cell]

Record 3
This record from the Alexandria database describes a crystal of Ag3Pt5 relaxed with PBEsol. The functional is SCAN.

Properties
E_form: 0.03 eV per atom
Total magnetic moment: 0.0 μB per cell
ΔE to the lowest computed polymorph: 0.23 eV per formula unit

Unit cell a=12.143 b=2.759 c=9.312 alpha=90.00 beta=127.68 gamma=90.00
Space group C2/m (No. 12)
Asymmetric unit:
1 Ag 0.000 0.000 0.000 [2 per cell]
2 Ag 0.128 0.500 0.876 [4 per cell]
3 Pt 0.000 0.500 0.500 [2 per cell]
4 Pt 0.123 0.000 0.375 [4 per cell]
5 Pt 0.250 0.000 0.741 [4 per cell]